# LiCaScCr2

Crystalline LiCaScCr2 at its relaxed geometry (GGA-PBEsol, Alexandria via LeMat-Bulk).

```
LiCaScCr2
1.0
4.721 0.000 0.000
0.000 4.721 0.000
0.000 0.000 5.500
Li Ca Sc Cr
1 1 1 2
direct
0.000 0.000 0.000
0.500 0.500 0.000
0.500 0.500 0.500
0.000 0.500 0.500
0.500 0.000 0.500
```

Results
Total moment = 6.0 μB per formula unit
Mass density = 2.65 g cm⁻³
Calculated total energy = -0.35800 Ry per atom
N(E_F) = 0.45 states/eV/atom
Formation energy = 1.367 eV per atom



# Sc3As2

Crystalline Sc3As2 at its relaxed geometry (GGA-PBEsol, Alexandria via LeMat-Bulk).

```
Sc3As2
1.0
10.331 0.000 0.000
0.000 3.791 0.000
0.000 0.000 10.170
Sc As
12 8
direct
0.047 0.250 0.131
0.127 0.750 0.564
0.223 0.250 0.798
0.277 0.750 0.298
0.373 0.250 0.064
0.453 0.750 0.631
0.547 0.250 0.369
0.627 0.750 0.936
0.723 0.250 0.702
0.777 0.750 0.202
0.873 0.250 0.436
0.953 0.750 0.869
0.014 0.750 0.320
0.188 0.750 0.997
0.312 0.250 0.497
0.486 0.250 0.820
0.514 0.750 0.180
0.688 0.750 0.503
0.812 0.250 0.003
0.986 0.250 0.680
```

Results
Total moment = 0.0 μB per formula unit
Mass density = 4.75 g cm⁻³
Calculated total energy = -0.52955 Ry per atom
N(E_F) = 1.16 states/eV/atom
E above lowest polymorph = 0 meV/atom
Formation energy = -1.199 eV per atom



# AgPb2

Crystalline AgPb2 at its relaxed geometry (GGA-PBEsol, Alexandria via LeMat-Bulk).

```
AgPb2
1.0
5.605 -1.679 0.000
5.605 1.679 0.000
-1.431 0.000 8.120
Ag Pb
2 4
direct
0.000 0.000 0.000
0.654 0.654 0.216
0.141 0.141 0.512
0.385 0.385 0.258
0.429 0.429 0.688
0.725 0.725 0.890
```

Results
Total moment = 0.0 μB per formula unit
Mass density = 11.35 g cm⁻³
Calculated total energy = -0.27120 Ry per atom
N(E_F) = 0.43 states/eV/atom
Formation energy = 0.080 eV per atom



# SrTaRu2

Crystalline SrTaRu2 at its relaxed geometry (GGA-PBEsol, Alexandria via LeMat-Bulk).

```
SrTaRu2
1.0
2.839 0.000 0.000
0.000 2.839 0.000
0.000 0.000 9.114
Sr Ta Ru
1 1 2
direct
0.000 0.000 0.000
0.500 0.500 0.331
0.000 0.000 0.553
0.500 0.500 0.727
```

Results
Total moment = 0.0 μB per formula unit
Mass density = 10.64 g cm⁻³
Calculated total energy = -0.59702 Ry per atom
N(E_F) = 0.74 states/eV/atom
E above lowest polymorph = 99 meV/atom
Formation energy = 0.561 eV per atom



# CrFePt2

Crystalline CrFePt2 at its relaxed geometry (GGA-PBEsol, Alexandria via LeMat-Bulk).

```
CrFePt2
1.0
1.333 0.769 8.579
-1.333 0.769 8.579
0.000 -1.539 8.579
Cr Fe Pt
1 1 2
direct
0.000 0.000 0.000
0.740 0.740 0.740
0.251 0.251 0.251
0.489 0.489 0.489
```

Results
Total moment = 0.9 μB per formula unit
Mass density = 15.67 g cm⁻³
Calculated total energy = -0.60771 Ry per atom
N(E_F) = 1.08 states/eV/atom
Formation energy = 0.015 eV per atom



# Mg2CdBi

Crystalline Mg2CdBi at its relaxed geometry (GGA-PBEsol, Alexandria via LeMat-Bulk).

```
Mg2CdBi
1.0
0.000 3.645 3.645
3.645 0.000 3.645
3.645 3.645 0.000
Mg Cd Bi
2 1 1
direct
0.250 0.250 0.250
0.750 0.750 0.750
0.000 0.000 0.000
0.500 0.500 0.500
```

Results
Total moment = 0.0 μB per formula unit
Mass density = 6.35 g cm⁻³
Calculated total energy = -0.17066 Ry per atom
N(E_F) = 0.39 states/eV/atom
Formation energy = -0.093 eV per atom